[1]
{
  "formula": "DySi2Pd2",
  "functional": "GGA-PBE",
  "state": "optimized geometry",
  "energy_ev_per_cell": -30.53,
  "n_ef_per_ev_atom": 0.6128,
  "lattice_angstrom": [[5.7826, -0.0243, 0.0000], [2.8188, 5.0491, 0.0000], [-4.3007, -2.5124, 2.9378]],
  "species": ["Pd", "Pd", "Si", "Si", "Dy"],
  "fractional_positions": [[0.2500, 0.7500, 0.5000], [0.7500, 0.2500, 0.5000], [0.6164, 0.6164, 0.0000], [0.3836, 0.3836, 0.0000], [0.0000, 0.0000, 0.0000]]
}

***

[2]
{
  "formula": "RbBa3Re",
  "functional": "GGA-PBE",
  "state": "optimized geometry",
  "formation_energy_ev_per_atom": 0.6686,
  "energy_ev_per_cell": -15.84,
  "n_ef_per_ev_atom": 0.7781,
  "relative_energy_mev_per_atom": 0,
  "lattice_angstrom": [[6.3217, 0.0000, 0.0000], [0.0000, 6.3217, 0.0000], [0.0000, 0.0000, 6.3217]],
  "species": ["Ba", "Ba", "Ba", "Rb", "Re"],
  "fractional_positions": [[0.5000, 0.0000, 0.0000], [0.0000, 0.0000, 0.5000], [0.0000, 0.5000, 0.0000], [0.5000, 0.5000, 0.5000], [0.0000, 0.0000, 0.0000]]
}

***

Please write out number 1 again, unchanged.
{
  "formula": "DySi2Pd2",
  "functional": "GGA-PBE",
  "state": "optimized geometry",
  "energy_ev_per_cell": -30.53,
  "n_ef_per_ev_atom": 0.6128,
  "lattice_angstrom": [[5.7826, -0.0243, 0.0000], [2.8188, 5.0491, 0.0000], [-4.3007, -2.5124, 2.9378]],
  "species": ["Pd", "Pd", "Si", "Si", "Dy"],
  "fractional_positions": [[0.2500, 0.7500, 0.5000], [0.7500, 0.2500, 0.5000], [0.6164, 0.6164, 0.0000], [0.3836, 0.3836, 0.0000], [0.0000, 0.0000, 0.0000]]
}

***

Repeat the first record exactly.
{
  "formula": "DySi2Pd2",
  "functional": "GGA-PBE",
  "state": "optimized geometry",
  "energy_ev_per_cell": -30.53,
  "n_ef_per_ev_atom": 0.6128,
  "lattice_angstrom": [[5.7826, -0.0243, 0.0000], [2.8188, 5.0491, 0.0000], [-4.3007, -2.5124, 2.9378]],
  "species": ["Pd", "Pd", "Si", "Si", "Dy"],
  "fractional_positions": [[0.2500, 0.7500, 0.5000], [0.7500, 0.2500, 0.5000], [0.6164, 0.6164, 0.0000], [0.3836, 0.3836, 0.0000], [0.0000, 0.0000, 0.0000]]
}